1.
SiIrOs, optimized geometry, DFT PBEsol; energy relative to the elements, uncorrected = -20 kJ/mol of atoms; polymorph energy (0 for the lowest one) = 0.0000 eV/atom
1.0
-1.430 1.430 4.857
1.430 -1.430 4.857
1.430 1.430 -4.857
Si Ir Os
1 1 1
Direct
0.000 0.000 0.000 Si
0.652 0.652 0.000 Ir
0.356 0.356 0.000 Os

=====

2.
Co2Se, optimized geometry, DFT PBEsol; energy relative to the elements, uncorrected = -14 kJ/mol of atoms; polymorph energy (0 for the lowest one) = 0.0000 eV/atom
1.0
1.739 -7.272 0.000
1.739 7.272 0.000
0.000 0.000 3.521
Co Se
4 2
Direct
0.055 0.945 0.750 Co
0.443 0.557 0.750 Co
0.557 0.443 0.250 Co
0.945 0.055 0.250 Co
0.338 0.662 0.250 Se
0.662 0.338 0.750 Se

=====

3.
Tl3Te, optimized geometry, DFT PBEsol; energy relative to the elements, uncorrected = -15 kJ/mol of atoms; polymorph energy (0 for the lowest one) = 0.0180 eV/atom
1.0
-2.391 2.391 5.199
2.391 -2.391 5.199
2.391 2.391 -5.199
Tl Te
3 1
Direct
0.000 0.000 0.000 Tl
0.250 0.750 0.500 Tl
0.750 0.250 0.500 Tl
0.500 0.500 0.000 Te

=====

4.
CuMoRh2, optimized geometry, DFT PBEsol; polymorph energy (0 for the lowest one) = 0.0354 eV/atom; energy of formation from the pure elements = -0.09 eV/atom
1.0
2.749 0.000 0.000
0.000 2.749 0.000
0.000 0.000 7.121
Cu Mo Rh
1 1 2
Direct
0.000 0.000 0.000 Cu
0.000 0.000 0.500 Mo
0.500 0.500 0.245 Rh
0.500 0.500 0.755 Rh

=====

5.
Ba2LaCu, optimized geometry, DFT PBEsol; energy of formation from the pure elements = 0.41 eV/atom
1.0
-2.417 2.417 5.740
2.417 -2.417 5.740
2.417 2.417 -5.740
Ba La Cu
2 1 1
Direct
0.250 0.750 0.500 Ba
0.750 0.250 0.500 Ba
0.000 0.000 0.000 La
0.500 0.500 0.000 Cu

=====

6.
AsSeCl3F6, optimized geometry, DFT PBEsol; energy relative to the elements, uncorrected = -145 kJ/mol of atoms
1.0
7.637 0.000 0.000
0.000 9.524 0.000
-1.707 0.000 11.695
As Se Cl F
4 4 12 24
Direct
0.185 0.231 0.078 As
0.185 0.269 0.578 As
0.815 0.731 0.422 As
0.815 0.769 0.922 As
0.183 0.675 0.694 Se
0.183 0.825 0.194 Se
0.817 0.175 0.806 Se
0.817 0.325 0.306 Se
0.217 0.611 0.247 Cl
0.217 0.889 0.747 Cl
0.287 0.568 0.847 Cl
0.287 0.932 0.347 Cl
0.404 0.660 0.602 Cl
0.404 0.840 0.102 Cl
0.596 0.160 0.898 Cl
0.596 0.340 0.398 Cl
0.713 0.068 0.653 Cl
0.713 0.432 0.153 Cl
0.783 0.111 0.253 Cl
0.783 0.389 0.753 Cl
0.023 0.724 0.001 F
0.023 0.776 0.501 F
0.092 0.066 0.111 F
0.092 0.434 0.611 F
0.111 0.197 0.701 F
0.111 0.303 0.201 F
0.248 0.156 0.955 F
0.248 0.344 0.455 F
0.271 0.106 0.546 F
0.271 0.394 0.046 F
0.386 0.183 0.159 F
0.386 0.317 0.659 F
0.614 0.683 0.341 F
0.614 0.817 0.841 F
0.729 0.606 0.954 F
0.729 0.894 0.454 F
0.752 0.656 0.545 F
0.752 0.844 0.045 F
0.889 0.697 0.799 F
0.889 0.803 0.299 F
0.908 0.566 0.389 F
0.908 0.934 0.889 F
0.977 0.224 0.499 F
0.977 0.276 0.999 F